Compound: La3NiPd3
Source: Alexandria via LeMat-Bulk
Functional: PBE-GGA
Structure: optimized geometry

POSCAR file:
```
La3NiPd3
1.0
4.369 0.000 -0.953
-0.198 3.904 -0.907
-0.150 0.207 9.802
La Ni Pd
3 1 3
direct
0.322 0.822 0.643
0.682 0.182 0.364
0.998 0.998 0.996
0.428 0.428 0.857
0.155 0.655 0.310
0.853 0.353 0.706
0.562 0.562 0.124
```

Computed properties:
formation enthalpy at 0 K = -0.703 eV per atom
energy = -5.866 eV/atom
symmetry = No. 44

Compound: YTm3Mg8
Source: Alexandria via LeMat-Bulk
Functional: PBE-GGA
Structure: optimized geometry

POSCAR file:
```
YTm3Mg8
1.0
6.035 0.000 0.000
-3.018 5.227 0.000
0.000 0.000 9.712
Y Tm Mg
1 3 8
direct
0.000 0.000 0.565
0.667 0.333 0.434
0.667 0.333 0.063
0.000 0.000 0.938
0.333 0.667 0.500
0.333 0.667 0.000
0.504 0.009 0.750
0.504 0.496 0.750
0.991 0.496 0.750
0.163 0.325 0.250
0.163 0.837 0.250
0.675 0.837 0.250
```

Computed properties:
formation enthalpy at 0 K = -0.062 eV per atom
energy = -2.782 eV/atom
symmetry = No. 156

Compound: Sc2RePbC
Source: Alexandria via LeMat-Bulk
Functional: PBE-GGA
Structure: optimized geometry

POSCAR file:
```
Sc2RePbC
1.0
4.644 0.000 0.000
0.000 4.644 0.000
0.000 0.000 4.046
Pb Re C Sc
1 1 1 2
direct
0.500 0.500 0.500
0.000 0.000 0.500
0.000 0.000 0.000
0.000 0.500 0.000
0.500 0.000 0.000
```

Computed properties:
formation enthalpy at 0 K = -0.321 eV per atom
energy = -7.929 eV/atom
symmetry = No. 123

Compound: ZrZnCr2
Source: Alexandria via LeMat-Bulk
Functional: PBE-GGA
Structure: optimized geometry

POSCAR file:
```
ZrZnCr2
1.0
-0.379 0.595 -2.627
0.530 -2.647 0.336
-8.527 -1.598 0.867
Cr Zn Zr
2 1 1
direct
0.000 0.000 0.034
0.500 0.500 0.228
0.000 0.000 0.473
0.500 0.500 0.765
```

Computed properties:
formation enthalpy at 0 K = 0.239 eV per atom
energy = -7.028 eV/atom
symmetry = No. 35

Compound: KC2
Source: Alexandria via LeMat-Bulk
Functional: PBE-GGA
Structure: optimized geometry

POSCAR file:
```
KC2
1.0
4.284 0.000 0.000
0.000 4.284 0.000
0.000 0.000 5.937
K C
1 2
direct
0.000 0.000 0.000
0.000 0.000 0.500
0.500 0.500 0.000
```

Computed properties:
formation enthalpy at 0 K = 4.036 eV per atom
relative energy among the computed polymorphs = 3.531 eV per atom
energy = -2.479 eV/atom
symmetry = No. 123

Compound: LaHg6Au2
Source: Alexandria via LeMat-Bulk
Functional: PBE-GGA
Structure: optimized geometry

POSCAR file:
```
LaHg6Au2
1.0
-2.435 -0.932 2.112
4.187 -0.436 7.399
-1.656 7.289 4.074
La Hg Au
1 6 2
direct
0.000 0.000 0.000
0.300 0.056 0.347
0.700 0.944 0.653
0.700 0.653 0.944
0.500 0.295 0.705
0.500 0.705 0.295
0.300 0.347 0.056
0.112 0.393 0.393
0.888 0.607 0.607
```

Computed properties:
formation enthalpy at 0 K = -0.101 eV per atom
energy = -1.578 eV/atom
symmetry = No. 12

Compound: TbTlSn
Source: Alexandria via LeMat-Bulk
Functional: PBE-GGA
Structure: optimized geometry

POSCAR file:
```
TbTlSn
1.0
-3.118 2.878 1.241
-2.439 -3.507 2.003
3.201 2.384 2.516
Tl Tb Sn
1 1 1
direct
0.315 0.333 0.667
0.656 0.667 0.333
0.029 0.000 0.000
```

Computed properties:
formation enthalpy at 0 K = -0.312 eV per atom
relative energy among the computed polymorphs = 0.128 eV per atom
energy = -3.978 eV/atom
symmetry = No. 156

Compound: NdDyMn17
Source: Alexandria via LeMat-Bulk
Functional: PBE-GGA
Structure: optimized geometry

POSCAR file:
```
NdDyMn17
1.0
-4.019 -0.599 -4.883
3.878 -3.838 -3.253
-2.647 -5.299 2.296
Nd Dy Mn
1 1 17
direct
0.643 0.643 0.643
0.354 0.354 0.354
0.274 0.001 0.726
0.726 0.274 0.001
0.001 0.726 0.274
0.274 0.726 0.001
0.001 0.274 0.726
0.726 0.001 0.274
0.353 0.878 0.353
0.353 0.353 0.878
0.878 0.353 0.353
0.645 0.123 0.645
0.645 0.645 0.123
0.123 0.645 0.645
0.001 0.500 0.001
0.001 0.001 0.500
0.500 0.001 0.001
0.901 0.901 0.901
0.100 0.100 0.100
```

Computed properties:
formation enthalpy at 0 K = 0.030 eV per atom
energy = -8.667 eV/atom
symmetry = No. 160

Compound: LiAu2Se
Source: Alexandria via LeMat-Bulk
Functional: PBE-GGA
Structure: optimized geometry

POSCAR file:
```
LiAu2Se
1.0
-0.999 3.863 -0.063
-1.379 -0.398 -2.544
-6.011 -1.526 1.764
Au Li Se
2 1 1
direct
0.000 0.798 0.032
0.500 0.182 0.266
0.000 0.557 0.508
0.500 0.963 0.694
```

Computed properties:
relative energy among the computed polymorphs = 0.000 eV per atom
energy = -3.303 eV/atom
symmetry = No. 6

Compound: BeNiTe
Source: Alexandria via LeMat-Bulk
Functional: PBE-GGA
Structure: optimized geometry

POSCAR file:
```
BeNiTe
1.0
4.118 0.016 -0.009
0.611 4.072 -0.009
1.903 1.645 5.547
Be Te Ni
2 2 2
direct
0.644 0.534 0.437
0.489 0.379 0.836
0.945 0.736 0.949
0.287 0.078 0.323
0.051 0.361 0.662
0.662 0.972 0.610
```

Computed properties:
energy = -4.303 eV/atom
symmetry = No. 5

Compound: CdTe2
Source: Alexandria via LeMat-Bulk
Functional: PBE-GGA
Structure: optimized geometry

POSCAR file:
```
CdTe2
1.0
0.933 3.871 1.981
-4.202 -1.445 -0.189
1.533 -5.863 10.731
Cd Te
2 4
direct
0.667 0.333 0.750
0.333 0.667 0.250
0.000 0.000 0.882
0.000 0.000 0.382
0.000 0.000 0.118
0.000 0.000 0.618
```

Computed properties:
energy = -2.493 eV/atom
symmetry = No. 194

Compound: LiCaIn2
Source: Alexandria via LeMat-Bulk
Functional: PBE-GGA
Structure: optimized geometry

POSCAR file:
```
LiCaIn2
1.0
-3.161 -3.440 0.153
0.564 -0.312 4.630
-8.849 5.124 3.782
Ca Li In
2 2 4
direct
0.000 0.000 0.000
0.750 0.250 0.500
0.500 0.500 0.000
0.250 0.750 0.500
0.574 0.125 0.250
0.176 0.625 0.250
0.375 0.426 0.750
0.875 0.824 0.750
```

Computed properties:
formation enthalpy at 0 K = -0.072 eV per atom
energy = -2.420 eV/atom
symmetry = No. 122

| no. | theoretical density (Mg/m³) |
| --- | --- |
| 1 | 7.9 |
| 2 | 4.3 |
| 3 | 9.4 |
| 4 | 7.2 |
| 5 | 1.0 |
| 6 | 12.8 |
| 7 | 9.4 |
| 8 | 8.1 |
| 9 | 10.9 |
| 10 | 7.0 |
| 11 | 5.8 |
| 12 | 4.0 |